Entry from Alexandria via LeMat-Bulk: a relaxed structure of Ca2Ho2Pt3 (GGA-PBE).

## Properties
As for the total magnetization: 0.00 μB/atom. As for the formation energy: -1.03 eV per atom.

abc: 8.6113 8.6113 8.6113
angles: 32.79 32.79 32.79
Fractional coordinates of all 7 atoms:
Ca  0.1262  0.1262  0.1262
Ca  0.8738  0.8738  0.8738
Ho  0.3756  0.3756  0.3756
Ho  0.6244  0.6244  0.6244
Pt  0.0000  0.0000  0.0000
Pt  0.2561  0.2561  0.2561
Pt  0.7439  0.7439  0.7439